No. 1
# CdMo4P GGA-PBEsol optimized geometry
# - M_tot (μB per atom) = 0.000
# - E_form (eV per formula unit) = 4.05
data_CdMo4P
_chemical_formula_sum 'Cd4 Mo16 P4'
_cell_length_a 7.3441
_cell_length_b 7.3441
_cell_length_c 7.3441
_cell_angle_alpha 90.00
_cell_angle_beta 90.00
_cell_angle_gamma 90.00
_space_group_name_H-M_alt 'F -4 3 m'
_space_group_IT_number 216
_space_group_name_Hall 'F -4 2 3'
loop_
_atom_site_label
_atom_site_fract_x
_atom_site_fract_y
_atom_site_fract_z
_atom_site_occupancy
Cd1 0.0000 0.0000 0.0000 1
Mo1 0.1259 0.1259 0.3741 1
P1 0.2500 0.2500 0.7500 1

No. 2
# CdMoP2 GGA-PBEsol optimized geometry
# - M_tot (μB per atom) = 0.028
# - E_form (eV per formula unit) = 1.57
data_CdMoP2
_chemical_formula_sum 'Cd2 Mo2 P4'
_cell_length_a 3.6749
_cell_length_b 3.6749
_cell_length_c 9.2199
_cell_angle_alpha 90.00
_cell_angle_beta 90.00
_cell_angle_gamma 90.00
_space_group_name_H-M_alt 'I -4 m 2'
_space_group_IT_number 119
_space_group_name_Hall 'I -4 -2'
loop_
_atom_site_label
_atom_site_fract_x
_atom_site_fract_y
_atom_site_fract_z
_atom_site_occupancy
Cd1 0.0000 0.0000 0.0000 1
Mo1 0.0000 0.5000 0.2500 1
P1 0.0000 0.0000 0.5000 1
P2 0.0000 0.5000 0.7500 1

M_tot of number 1 (CdMo4P)? 0.000 μB per atom

Among the records above, which one has the highest E_form? CdMo4P

What is the formula in the second record? CdMoP2

The highest E_form belongs to which entry? CdMo4P